1.
Entry from OQMD: Gd2ErIn3Ni3 after structural relaxation (PBE).

Structure (CIF):
```
data_Gd2ErIn3Ni3
_space_group_name_H-M_alt 'A m m 2'
_space_group_IT_number 38
_cell_length_a 3.818
_cell_length_b 12.898
_cell_length_c 7.443
_cell_angle_alpha 90.00
_cell_angle_beta 90.00
_cell_angle_gamma 90.00
loop_
_space_group_symop_operation_xyz
'x,y,z'
'-x,-y,z'
'-x,y,z'
'x,-y,z'
'x,y+1/2,z+1/2'
'-x,-y+1/2,z+1/2'
'-x,y+1/2,z+1/2'
'x,-y+1/2,z+1/2'
loop_
_atom_site_label
_atom_site_fract_x
_atom_site_fract_y
_atom_site_fract_z
Gd1 0.000 0.205 0.000
Er1 0.000 0.000 0.384
In1 0.500 0.000 0.050
In2 0.500 0.126 0.667
Ni1 0.000 0.000 0.793
Ni2 0.500 0.165 0.295
```

Summary:
Total magnetization   0.000 μB per atom
Final energy   -86.7 eV for the cell shown

2.
Entry from OQMD: GdEr2In3PdPt2 after structural relaxation (PBE).

Structure (CIF):
```
data_GdEr2In3PdPt2
_space_group_name_H-M_alt 'A m m 2'
_space_group_IT_number 38
_cell_length_a 3.818
_cell_length_b 13.384
_cell_length_c 7.685
_cell_angle_alpha 90.00
_cell_angle_beta 90.00
_cell_angle_gamma 90.00
loop_
_space_group_symop_operation_xyz
'x,y,z'
'-x,-y,z'
'-x,y,z'
'x,-y,z'
'x,y+1/2,z+1/2'
'-x,-y+1/2,z+1/2'
'-x,y+1/2,z+1/2'
'x,-y+1/2,z+1/2'
loop_
_atom_site_label
_atom_site_fract_x
_atom_site_fract_y
_atom_site_fract_z
Gd1 0.000 0.000 0.000
Er1 0.000 0.205 0.615
In1 0.500 0.000 0.668
In2 0.500 0.130 0.281
Pd1 0.000 0.000 0.411
Pt1 0.500 0.168 0.909
```

Summary:
Total magnetization   0.002 μB per atom
Final energy   -95.8 eV for the cell shown

3.
Entry from OQMD: GdErIn2Pt4 after structural relaxation (PBE).

Structure (CIF):
```
data_GdErIn2Pt4
_space_group_name_H-M_alt 'P -6 m 2'
_space_group_IT_number 187
_space_group_name_Hall 'P -6 2'
_cell_length_a 4.5845
_cell_length_b 4.5845
_cell_length_c 9.0103
_cell_angle_alpha 90.00
_cell_angle_beta 90.00
_cell_angle_gamma 120.00
loop_
_atom_site_label
_atom_site_fract_x
_atom_site_fract_y
_atom_site_fract_z
Gd1 0.0000 0.0000 0.0000
Er1 0.6667 0.3333 0.5000
In1 0.3333 0.6667 0.2514
Pt1 0.0000 0.0000 0.3440
Pt2 0.6667 0.3333 0.1611
```

Summary:
Total magnetization   0.000 μB per atom
Final energy   -46.6 eV for the cell shown